Record 1
Computed, not measured: a relaxed Th2MgSi3Rh4 crystal at the PBE level of DFT.

Computed properties:
- M_tot: 0.00 μB per atom
- Formation energy (no corrections): -976 meV/atom
- Uncorrected energy: -71.9 eV for the cell shown
- Mass density: 9.13 g/cm³
- V: 17.90 Å³/atom

a b c (Å): 4.1432 4.1432 10.4276
angles (deg): 90.00 90.00 90.00
Space group P-4m2 (No. 115)
One atom of each set of equivalent atoms:
Th 0.0000 0.5000 0.2492 x2
Mg 0.0000 0.0000 0.5000 x1
Si 0.0000 0.5000 0.8761 x2
Si 0.5000 0.5000 0.5000 x1
Rh 0.0000 0.0000 0.0000 x1
Rh 0.0000 0.5000 0.6474 x2
Rh 0.5000 0.5000 0.0000 x1

---

Record 2
Computed, not measured: a relaxed MgTiSi2Rh crystal at the PBE level of DFT.

Computed properties:
- M_tot: 0.00 μB per atom
- Formation energy (no corrections): 1015 meV/atom
- Uncorrected energy: -22.6 eV for the cell shown
- Mass density: 4.02 g/cm³
- V: 19.09 Å³/atom

a b c (Å): 4.6582 4.6582 4.3981
angles (deg): 90.00 90.00 90.00
Space group P4/mmm (No. 123)
One atom of each set of equivalent atoms:
Mg 0.0000 0.0000 0.0000 x1
Ti 0.5000 0.5000 0.5000 x1
Si 0.0000 0.5000 0.0000 x2
Rh 0.0000 0.0000 0.5000 x1

---

Record 3
Computed, not measured: a relaxed Mg2VSi2Rh5 crystal at the PBE level of DFT.

Computed properties:
- M_tot: 0.02 μB per atom
- Formation energy (no corrections): -595 meV/atom
- Uncorrected energy: -131.7 eV for the cell shown
- Mass density: 7.48 g/cm³
- V: 14.88 Å³/atom

a b c (Å): 9.4844 9.4844 3.3078
angles (deg): 90.00 90.00 90.00
Space group P4/mbm (No. 127)
One atom of each set of equivalent atoms:
Mg 0.1713 0.3287 0.0000 x4
V 0.0000 0.0000 0.0000 x2
Si 0.1286 0.6286 0.0000 x4
Rh 0.0000 0.5000 0.5000 x2
Rh 0.0730 0.7989 0.5000 x8

---

Record 4
Computed, not measured: a relaxed Y2MgSi2Rh5 crystal at the PBE level of DFT.

Computed properties:
- M_tot: 0.00 μB per atom
- Formation energy (no corrections): -937 meV/atom
- Uncorrected energy: -143.0 eV for the cell shown
- Mass density: 7.65 g/cm³
- V: 16.78 Å³/atom

a b c (Å): 9.9086 9.9086 3.4192
angles (deg): 90.00 90.00 90.00
Space group P4/mbm (No. 127)
One atom of each set of equivalent atoms:
Y 0.1743 0.3257 0.0000 x4
Mg 0.0000 0.0000 0.0000 x2
Si 0.1251 0.6251 0.0000 x4
Rh 0.0000 0.5000 0.5000 x2
Rh 0.0686 0.7839 0.5000 x8

---

Record 5
Computed, not measured: a relaxed Mg2ZnSi2Rh5 crystal at the PBE level of DFT.

Computed properties:
- M_tot: 0.00 μB per atom
- Formation energy (no corrections): -702 meV/atom
- Uncorrected energy: -118.2 eV for the cell shown
- Mass density: 7.64 g/cm³
- V: 14.88 Å³/atom

a b c (Å): 9.6834 9.6834 3.1731
angles (deg): 90.00 90.00 90.00
Space group P4/mbm (No. 127)
One atom of each set of equivalent atoms:
Mg 0.1711 0.3289 0.0000 x4
Zn 0.0000 0.0000 0.0000 x2
Si 0.1314 0.6314 0.0000 x4
Rh 0.0000 0.5000 0.5000 x2
Rh 0.0717 0.7966 0.5000 x8

---

Record 6
Computed, not measured: a relaxed Sm3MgRh3 crystal at the PBE level of DFT.

Computed properties:
- M_tot: 0.00 μB per atom
- Energy of formation from the pure elements: -0.69 eV per atom
- Uncorrected energy: -170.6 eV for the cell shown
- Mass density: 8.40 g/cm³
- V: 22.13 Å³/atom

a b c (Å): 4.2143 10.5025 14.0017
angles (deg): 90.00 90.00 90.00
Space group Cmcm (No. 63)
One atom of each set of equivalent atoms:
Sm 0.0000 0.0250 0.2500 x4
Sm 0.0000 0.3016 0.1061 x8
Mg 0.0000 0.0000 0.0000 x4
Rh 0.0000 0.2490 0.7500 x4
Rh 0.0000 0.4076 0.5919 x8

---

Record 7
Computed, not measured: a relaxed SmMg5Rh6 crystal at the PBE level of DFT.

Computed properties:
- M_tot: 0.00 μB per atom
- Energy of formation from the pure elements: -0.53 eV per atom
- Uncorrected energy: -126.2 eV for the cell shown
- Mass density: 7.60 g/cm³
- V: 16.19 Å³/atom

a b c (Å): 4.4906 13.4561 6.4321
angles (deg): 90.00 90.00 90.00
Space group Cmmm (No. 65)
One atom of each set of equivalent atoms:
Sm 0.0000 0.0000 0.0000 x2
Mg 0.0000 0.0000 0.5000 x2
Mg 0.0000 0.3288 0.0000 x4
Mg 0.0000 0.3333 0.5000 x4
Rh 0.0000 0.1705 0.2577 x8
Rh 0.0000 0.5000 0.2637 x4

---

Record 8
Computed, not measured: a relaxed SmMg3Rh2 crystal at the PBE level of DFT.

Computed properties:
- M_tot: 0.00 μB per atom
- Energy of formation from the pure elements: -0.43 eV per atom
- Uncorrected energy: -107.1 eV for the cell shown
- Mass density: 5.81 g/cm³
- V: 20.45 Å³/atom

a b c (Å): 16.3662 3.9595 9.1179
angles (deg): 90.00 123.83 90.00
Space group C2/m (No. 12)
One atom of each set of equivalent atoms:
Sm 0.1320 0.0000 0.1323 x4
Mg 0.9996 0.0000 0.3422 x4
Mg 0.1666 0.5000 0.4706 x4
Mg 0.1670 0.5000 0.8638 x4
Rh 0.0000 0.5000 0.1471 x4
Rh 0.2021 0.0000 0.7024 x4